No. 1
PmNd8Cd2: optimized geometry, PBE.

```
PmNd8Cd2
1.0
5.869 -5.866 0.000
5.869 5.866 0.000
-1.010 0.000 5.695
Pm Nd Cd
1 8 2
Direct
0.000 0.000 0.000
0.117 0.625 0.254
0.270 0.270 0.118
0.375 0.883 0.746
0.417 0.417 0.706
0.583 0.583 0.294
0.625 0.117 0.254
0.730 0.730 0.882
0.883 0.375 0.746
0.130 0.130 0.535
0.870 0.870 0.465
```

Density, g/cm³: 6.45
Uncorrected energy, eV per atom: -3.817
Space group: C2/m, No. 12

***

No. 2
Pm6Nd5Cd: optimized geometry, PBE.

```
Pm6Nd5Cd
1.0
3.134 -5.430 0.000
3.134 5.430 0.000
-2.105 0.000 11.803
Pm Nd Cd
6 5 1
Direct
0.081 0.409 0.246
0.246 0.246 0.752
0.409 0.081 0.246
0.591 0.919 0.754
0.754 0.754 0.248
0.919 0.591 0.754
0.167 0.833 0.500
0.332 0.668 0.000
0.500 0.500 0.500
0.668 0.332 0.000
0.833 0.167 0.500
0.000 0.000 0.000
```

Density, g/cm³: 7.04
Uncorrected energy, eV per atom: -4.446
Space group: C2/m, No. 12

***

No. 3
Pm2Nd2Cd3: optimized geometry, PBE.

```
Pm2Nd2Cd3
1.0
2.695 1.556 8.566
-2.695 1.556 8.566
0.000 -3.112 8.566
Pm Nd Cd
2 2 3
Direct
0.130 0.130 0.130
0.870 0.870 0.870
0.383 0.383 0.383
0.617 0.617 0.617
0.000 0.000 0.000
0.255 0.255 0.255
0.745 0.745 0.745
```

Density, g/cm³: 7.06
Uncorrected energy, eV per atom: -3.270
Space group: R-3m, No. 166

***

No. 4
PmNd4Cd2: optimized geometry, PBE.

```
PmNd4Cd2
1.0
6.502 0.000 0.000
1.201 8.345 0.000
2.710 -0.373 8.083
Pm Nd Cd
2 8 4
Direct
0.000 0.000 0.000
0.375 0.863 0.204
0.094 0.279 0.265
0.099 0.303 0.704
0.279 0.565 0.968
0.368 0.839 0.631
0.528 0.140 0.880
0.583 0.157 0.375
0.825 0.710 0.796
0.843 0.701 0.327
0.327 0.540 0.400
0.635 0.439 0.610
0.725 0.421 0.075
0.938 0.001 0.543
```

Density, g/cm³: 7.17
Uncorrected energy, eV per atom: -3.788
Space group: P1, No. 1

***

No. 5
PmNd5Cd6: optimized geometry, PBE.

```
PmNd5Cd6
1.0
2.717 -8.156 0.000
2.717 8.156 0.000
0.000 0.000 7.742
Pm Nd Cd
1 5 6
Direct
0.000 0.000 0.000
0.000 0.000 0.500
0.333 0.667 0.000
0.333 0.667 0.500
0.667 0.333 0.000
0.667 0.333 0.500
0.166 0.834 0.249
0.166 0.834 0.751
0.500 0.500 0.248
0.500 0.500 0.752
0.834 0.166 0.249
0.834 0.166 0.751
```

Density, g/cm³: 7.46
Uncorrected energy, eV per atom: -3.159
Space group: Cmmm, No. 65

***

No. 6
PmPr4Nd2Cd2: optimized geometry, PBE.

```
PmPr4Nd2Cd2
1.0
6.422 0.000 0.000
3.151 6.037 0.000
1.507 2.913 7.748
Pm Pr Nd Cd
1 4 2 2
Direct
0.000 0.000 0.000
0.301 0.474 0.383
0.410 0.026 0.219
0.590 0.974 0.781
0.699 0.526 0.617
0.183 0.519 0.823
0.817 0.481 0.177
0.141 0.041 0.591
0.859 0.959 0.409
```

Density, g/cm³: 6.75
Uncorrected energy, eV per atom: -3.960
Space group: P-1, No. 2

***

What did the fourth record say?
PmNd4Cd2: optimized geometry, PBE.

```
PmNd4Cd2
1.0
6.502 0.000 0.000
1.201 8.345 0.000
2.710 -0.373 8.083
Pm Nd Cd
2 8 4
Direct
0.000 0.000 0.000
0.375 0.863 0.204
0.094 0.279 0.265
0.099 0.303 0.704
0.279 0.565 0.968
0.368 0.839 0.631
0.528 0.140 0.880
0.583 0.157 0.375
0.825 0.710 0.796
0.843 0.701 0.327
0.327 0.540 0.400
0.635 0.439 0.610
0.725 0.421 0.075
0.938 0.001 0.543
```

Density, g/cm³: 7.17
Uncorrected energy, eV per atom: -3.788
Space group: P1, No. 1